*w*
Computed, not measured: a relaxed structure of Ca2TeS at the GGA-PBE level of DFT.

CIF file:
```
data_Ca2TeS
_cell_length_a 10.517
_cell_length_b 4.127
_cell_length_c 7.263
_cell_angle_alpha 90.00
_cell_angle_beta 132.75
_cell_angle_gamma 90.00
_symmetry_space_group_name_H-M 'C 1 m 1'
_symmetry_Int_Tables_number 8
_symmetry_space_group_name_Hall 'C -2y'
loop_
_atom_site_label
_atom_site_fract_x
_atom_site_fract_y
_atom_site_fract_z
_atom_site_occupancy
Ca1 0.000 0.000 0.000 1
Ca2 0.042 0.500 0.546 1
Te1 0.273 0.500 0.129 1
S1 0.274 0.000 0.626 1
```

***

*x*
Computed, not measured: a relaxed structure of Ca2TeS at the GGA-PBE level of DFT.

CIF file:
```
data_Ca2TeS
_cell_length_a 4.492
_cell_length_b 4.496
_cell_length_c 7.477
_cell_angle_alpha 88.78
_cell_angle_beta 89.29
_cell_angle_gamma 60.15
_symmetry_space_group_name_H-M 'P 1'
_symmetry_Int_Tables_number 1
_symmetry_space_group_name_Hall 'P 1'
loop_
_atom_site_label
_atom_site_fract_x
_atom_site_fract_y
_atom_site_fract_z
_atom_site_occupancy
Ca1 0.000 0.000 0.000 1
Ca2 0.335 0.349 0.499 1
Te1 0.667 0.673 0.787 1
S1 0.002 0.021 0.352 1
```

***

*y*
Computed, not measured: a relaxed structure of Ca2TeS at the GGA-PBE level of DFT.

CIF file:
```
data_Ca2TeS
_cell_length_a 3.888
_cell_length_b 3.993
_cell_length_c 14.503
_cell_angle_alpha 90.00
_cell_angle_beta 90.00
_cell_angle_gamma 90.00
_symmetry_space_group_name_H-M 'I m m 2'
_symmetry_Int_Tables_number 44
_symmetry_space_group_name_Hall 'I 2 -2'
loop_
_atom_site_label
_atom_site_fract_x
_atom_site_fract_y
_atom_site_fract_z
_atom_site_occupancy
Ca1 0.000 0.000 0.000 1
Ca2 0.000 0.500 0.228 1
Te1 0.000 0.500 0.828 1
S1 0.000 0.000 0.576 1
```

***

Least stable structure: *w*

***

*w*
Computed, not measured: a relaxed structure of Ca2TeS at the GGA-PBE level of DFT.

CIF file:
```
data_Ca2TeS
_cell_length_a 4.2005
_cell_length_b 4.2005
_cell_length_c 7.3702
_cell_angle_alpha 90.00
_cell_angle_beta 90.00
_cell_angle_gamma 120.00
_symmetry_space_group_name_H-M 'P -6 m 2'
_symmetry_Int_Tables_number 187
_symmetry_space_group_name_Hall 'P -6 2'
loop_
_atom_site_label
_atom_site_fract_x
_atom_site_fract_y
_atom_site_fract_z
_atom_site_occupancy
Ca1 0.0000 0.0000 0.2305 1
Te1 0.6667 0.3333 0.5000 1
S1 0.3333 0.6667 0.0000 1
```

***

*x*
Computed, not measured: a relaxed structure of Ca2TeS at the GGA-PBE level of DFT.

CIF file:
```
data_Ca2TeS
_cell_length_a 4.2654
_cell_length_b 4.2654
_cell_length_c 21.1360
_cell_angle_alpha 90.00
_cell_angle_beta 90.00
_cell_angle_gamma 120.00
_symmetry_space_group_name_H-M 'R -3 m'
_symmetry_Int_Tables_number 166
_symmetry_space_group_name_Hall '-R 3 2"'
loop_
_atom_site_label
_atom_site_fract_x
_atom_site_fract_y
_atom_site_fract_z
_atom_site_occupancy
Ca1 0.0000 0.0000 0.2415 1
Te1 0.0000 0.0000 0.0000 1
S1 0.0000 0.0000 0.5000 1
```

***

*y*
Computed, not measured: a relaxed structure of Ca2TeS at the GGA-PBE level of DFT.

CIF file:
```
data_Ca2TeS
_cell_length_a 6.035
_cell_length_b 5.180
_cell_length_c 8.871
_cell_angle_alpha 90.00
_cell_angle_beta 90.00
_cell_angle_gamma 90.00
_symmetry_space_group_name_H-M 'A m m 2'
_symmetry_Int_Tables_number 38
_symmetry_space_group_name_Hall 'A 2 -2'
loop_
_atom_site_label
_atom_site_fract_x
_atom_site_fract_y
_atom_site_fract_z
_atom_site_occupancy
Ca1 0.000 0.000 0.000 1
Ca2 0.500 0.000 0.334 1
Te1 0.500 0.000 0.998 1
S1 0.000 0.000 0.334 1
```

***

Least stable structure: *y*

***

*w*
Computed, not measured: a relaxed structure of CaTl2S2 at the GGA-PBE level of DFT.

CIF file:
```
data_CaTl2S2
_cell_length_a 5.560
_cell_length_b 5.560
_cell_length_c 9.161
_cell_angle_alpha 90.00
_cell_angle_beta 90.00
_cell_angle_gamma 90.00
_symmetry_space_group_name_H-M 'I 4/m m m'
_symmetry_Int_Tables_number 139
_symmetry_space_group_name_Hall '-I 4 2'
loop_
_atom_site_label
_atom_site_fract_x
_atom_site_fract_y
_atom_site_fract_z
_atom_site_occupancy
Ca1 0.000 0.000 0.000 1
Tl1 0.000 0.000 0.341 1
S1 0.000 0.500 0.250 1
```

***

*x*
Computed, not measured: a relaxed structure of CaTl2S2 at the GGA-PBE level of DFT.

CIF file:
```
data_CaTl2S2
_cell_length_a 7.693
_cell_length_b 7.693
_cell_length_c 4.677
_cell_angle_alpha 90.00
_cell_angle_beta 90.00
_cell_angle_gamma 90.00
_symmetry_space_group_name_H-M 'P 4/m b m'
_symmetry_Int_Tables_number 127
_symmetry_space_group_name_Hall '-P 4 2ab'
loop_
_atom_site_label
_atom_site_fract_x
_atom_site_fract_y
_atom_site_fract_z
_atom_site_occupancy
Ca1 0.000 0.000 0.000 1
Tl1 0.142 0.358 0.500 1
S1 0.182 0.682 0.000 1
```

***

Least stable structure: *w*

***

*w*
Computed, not measured: a relaxed structure of Ca3TlS at the GGA-PBE level of DFT.

CIF file:
```
data_Ca3TlS
_cell_length_a 5.383
_cell_length_b 5.383
_cell_length_c 5.383
_cell_angle_alpha 90.00
_cell_angle_beta 90.00
_cell_angle_gamma 90.00
_symmetry_space_group_name_H-M 'P m -3 m'
_symmetry_Int_Tables_number 221
_symmetry_space_group_name_Hall '-P 4 2 3'
loop_
_atom_site_label
_atom_site_fract_x
_atom_site_fract_y
_atom_site_fract_z
_atom_site_occupancy
Ca1 0.000 0.000 0.500 1
Tl1 0.500 0.500 0.500 1
S1 0.000 0.000 0.000 1
```

***

*x*
Computed, not measured: a relaxed structure of Ca3TlS at the GGA-PBE level of DFT.

CIF file:
```
data_Ca3TlS
_cell_length_a 5.801
_cell_length_b 5.801
_cell_length_c 5.801
_cell_angle_alpha 90.00
_cell_angle_beta 90.00
_cell_angle_gamma 90.00
_symmetry_space_group_name_H-M 'P m -3 m'
_symmetry_Int_Tables_number 221
_symmetry_space_group_name_Hall '-P 4 2 3'
loop_
_atom_site_label
_atom_site_fract_x
_atom_site_fract_y
_atom_site_fract_z
_atom_site_occupancy
Ca1 0.000 0.000 0.500 1
Tl1 0.000 0.000 0.000 1
S1 0.500 0.500 0.500 1
```

***

Least stable structure: *x*

***

*w*
Computed, not measured: a relaxed structure of CaTmS2 at the GGA-PBE level of DFT.

CIF file:
```
data_CaTmS2
_cell_length_a 6.755
_cell_length_b 3.900
_cell_length_c 6.871
_cell_angle_alpha 90.00
_cell_angle_beta 109.01
_cell_angle_gamma 90.00
_symmetry_space_group_name_H-M 'C 1 2/m 1'
_symmetry_Int_Tables_number 12
_symmetry_space_group_name_Hall '-C 2y'
loop_
_atom_site_label
_atom_site_fract_x
_atom_site_fract_y
_atom_site_fract_z
_atom_site_occupancy
Ca1 0.000 0.000 0.000 1
Tm1 0.000 0.500 0.500 1
S1 0.247 0.000 0.740 1
```

***

*x*
Computed, not measured: a relaxed structure of CaTmS2 at the GGA-PBE level of DFT.

CIF file:
```
data_CaTmS2
_cell_length_a 3.8508
_cell_length_b 3.8508
_cell_length_c 20.4013
_cell_angle_alpha 90.00
_cell_angle_beta 90.00
_cell_angle_gamma 120.00
_symmetry_space_group_name_H-M 'R 3 m'
_symmetry_Int_Tables_number 160
_symmetry_space_group_name_Hall 'R 3 -2"'
loop_
_atom_site_label
_atom_site_fract_x
_atom_site_fract_y
_atom_site_fract_z
_atom_site_occupancy
Ca1 0.0000 0.0000 0.0000 1
Tm1 0.0000 0.0000 0.1752 1
S1 0.0000 0.0000 0.5837 1
S2 0.0000 0.0000 0.7609 1
```

***

Least stable structure: *x*

***

*w*
Computed, not measured: a relaxed structure of CaV2S4 at the GGA-PBE level of DFT.

CIF file:
```
data_CaV2S4
_cell_length_a 5.109
_cell_length_b 5.109
_cell_length_c 12.611
_cell_angle_alpha 90.00
_cell_angle_beta 90.00
_cell_angle_gamma 90.00
_symmetry_space_group_name_H-M 'I 4/m m m'
_symmetry_Int_Tables_number 139
_symmetry_space_group_name_Hall '-I 4 2'
loop_
_atom_site_label
_atom_site_fract_x
_atom_site_fract_y
_atom_site_fract_z
_atom_site_occupancy
Ca1 0.000 0.000 0.000 1
V1 0.000 0.000 0.397 1
S1 0.000 0.000 0.231 1
S2 0.000 0.500 0.000 1
```

***

*x*
Computed, not measured: a relaxed structure of CaV2S4 at the GGA-PBE level of DFT.

CIF file:
```
data_CaV2S4
_cell_length_a 7.034
_cell_length_b 7.034
_cell_length_c 11.696
_cell_angle_alpha 90.00
_cell_angle_beta 90.00
_cell_angle_gamma 90.00
_symmetry_space_group_name_H-M 'I 41/a m d'
_symmetry_Int_Tables_number 141
loop_
_symmetry_equiv_pos_as_xyz
'x,y,z'
'-x,-y,-z'
'-y+1/4,x+3/4,z+1/4'
'y+1/4,-x+3/4,-z+1/4'
'-x+1/2,-y,z+1/2'
'x+1/2,y,-z+1/2'
'y+1/4,-x+1/4,z+3/4'
'-y+1/4,x+1/4,-z+3/4'
'x,-y,-z'
'-x,y,z'
'-y+1/4,-x+1/4,-z+3/4'
'y+1/4,x+1/4,z+3/4'
'-x+1/2,y,-z+1/2'
'x+1/2,-y,z+1/2'
'y+1/4,x+3/4,-z+1/4'
'-y+1/4,-x+3/4,z+1/4'
'x+1/2,y+1/2,z+1/2'
'-x+1/2,-y+1/2,-z+1/2'
'-y+3/4,x+1/4,z+3/4'
'y+3/4,-x+1/4,-z+3/4'
'-x,-y+1/2,z'
'x,y+1/2,-z'
'y+3/4,-x+3/4,z+1/4'
'-y+3/4,x+3/4,-z+1/4'
'x+1/2,-y+1/2,-z+1/2'
'-x+1/2,y+1/2,z+1/2'
'-y+3/4,-x+3/4,-z+1/4'
'y+3/4,x+3/4,z+1/4'
'-x,y+1/2,-z'
'x,-y+1/2,z'
'y+3/4,x+1/4,-z+3/4'
'-y+3/4,-x+1/4,z+3/4'
loop_
_atom_site_label
_atom_site_fract_x
_atom_site_fract_y
_atom_site_fract_z
_atom_site_occupancy
Ca1 0.000 0.250 0.375 1
V1 0.000 0.000 0.000 1
S1 0.000 0.013 0.786 1
```

***

Least stable structure: *w*